1.
Y2SiI | Alexandria via LeMat-Bulk | PBE-GGA | relaxed; spin magnetization = 0.0 Bohr magnetons per cell; space-group type = No. 225; formation energy without anion corrections = -195.5 kJ/mol of formula units; total energy = -5.482 eV/atom; ρ = 5.40 g/cm³
1.0
-0.966 3.017 4.186
0.749 5.189 -0.275
-4.123 3.251 -0.002
Si Y I
1 2 1
Cartesian
0.000 0.000 0.000 Si
-3.255 8.593 2.932 Y
-1.085 2.864 0.977 Y
-2.170 5.729 1.954 I

2.
YSiI3 | Alexandria via LeMat-Bulk | PBE-GGA | relaxed; spin magnetization = 1.7 Bohr magnetons per cell; space-group type = No. 221; formation energy without anion corrections = 69.3 kJ/mol of formula units; total energy = -3.164 eV/atom; ρ = 4.73 g/cm³
1.0
5.592 0.000 0.000
0.000 5.592 0.000
0.000 0.000 5.592
Y Si I
1 1 3
Cartesian
2.796 2.796 2.796 Y
0.000 0.000 0.000 Si
2.796 0.000 0.000 I
0.000 2.796 0.000 I
0.000 0.000 2.796 I

3.
Y3SiI3 | Alexandria via LeMat-Bulk | PBE-GGA | relaxed; spin magnetization = 0.0 Bohr magnetons per cell; space-group type = No. 11; formation energy without anion corrections = -757.1 kJ/mol of formula units; total energy = -5.330 eV/atom; ρ = 4.89 g/cm³
1.0
-0.330 -3.986 1.385
6.087 1.663 6.235
-8.942 3.381 7.600
I Y Si
6 6 2
Cartesian
-2.687 3.421 12.437 I
-2.153 0.168 9.671 I
-5.656 2.580 9.313 I
2.471 -1.522 5.908 I
-0.498 -2.362 2.784 I
-1.032 0.890 5.550 I
3.836 1.016 7.069 Y
-0.068 2.582 10.646 Y
-7.021 0.043 8.152 Y
-3.117 -1.523 4.575 Y
0.526 -0.576 8.168 Y
-3.711 1.634 7.053 Y
-5.060 -0.710 6.452 Si
1.875 1.768 8.769 Si

4.
Y2SiI | Alexandria via LeMat-Bulk | PBE-GGA | relaxed; spin magnetization = 0.0 Bohr magnetons per cell; space-group type = No. 166; formation energy without anion corrections = -352.1 kJ/mol of formula units; total energy = -5.888 eV/atom; ρ = 4.81 g/cm³
1.0
-3.359 -2.390 0.900
0.475 -4.138 0.678
0.053 -0.870 7.784
Y Si I
2 1 1
Cartesian
-0.768 -1.926 1.913 Y
-2.064 -5.471 7.450 Y
0.000 0.000 0.000 Si
-1.416 -3.698 4.681 I

5.
Y3Si2I2 | Alexandria via LeMat-Bulk | PBE-GGA | relaxed; spin magnetization = 0.0 Bohr magnetons per cell; space-group type = No. 2; formation energy without anion corrections = -513.4 kJ/mol of formula units; total energy = -5.523 eV/atom; ρ = 4.37 g/cm³
1.0
4.083 -0.002 0.002
-2.031 6.925 -0.057
-0.002 -1.116 7.760
Y Si I
3 2 2
Cartesian
0.000 0.000 0.000 Y
2.048 3.284 1.651 Y
0.002 2.523 6.054 Y
2.041 0.720 6.936 Si
0.009 5.088 0.768 Si
2.046 4.534 4.702 I
0.004 1.274 3.002 I

6.
Y4Si2I5 | Alexandria via LeMat-Bulk | PBE-GGA | relaxed; spin magnetization = 0.0 Bohr magnetons per cell; space-group type = No. 71; formation energy without anion corrections = -972.0 kJ/mol of formula units; total energy = -4.957 eV/atom; ρ = 3.72 g/cm³
1.0
-2.047 0.310 -3.581
-0.041 -8.480 -0.710
-10.498 3.593 8.701
I Si Y
5 2 4
Cartesian
-3.911 -6.520 1.672 I
-8.696 -2.287 2.384 I
-8.675 1.942 2.738 I
-1.024 0.155 -1.790 I
-3.891 -2.291 2.026 I
-2.029 -4.127 -1.586 Si
-10.558 -0.451 5.996 Si
-0.012 -2.540 -0.213 Y
-0.029 -5.940 -0.497 Y
-8.270 -0.353 4.697 Y
-4.317 -4.225 -0.287 Y

7.
Y4SiI5 | Alexandria via LeMat-Bulk | PBE-GGA | relaxed; spin magnetization = 0.0 Bohr magnetons per cell; space-group type = No. 12; formation energy without anion corrections = -1119.7 kJ/mol of formula units; total energy = -5.063 eV/atom; ρ = 4.36 g/cm³
1.0
-2.471 2.705 2.033
-1.736 -6.119 6.030
9.489 1.872 4.723
I Si Y
5 1 4
Cartesian
4.068 2.046 6.538 I
-2.103 -1.707 4.031 I
1.214 -3.588 6.248 I
2.082 -0.540 3.249 I
3.199 -1.002 9.537 I
-1.235 1.352 1.017 Si
-0.364 -1.285 1.267 Y
-0.885 -3.941 8.484 Y
6.167 2.399 4.302 Y
5.646 -0.257 11.519 Y

8.
Y2SiI | Alexandria via LeMat-Bulk | PBE-GGA | relaxed; spin magnetization = 0.0 Bohr magnetons per cell; space-group type = No. 122; formation energy without anion corrections = -122.4 kJ/mol of formula units; total energy = -5.292 eV/atom; ρ = 3.67 g/cm³
1.0
-3.825 -2.951 -4.575
-2.964 -3.561 4.775
-8.058 1.628 0.848
I Y Si
2 4 2
Cartesian
-7.638 -2.289 -1.813 I
0.000 0.000 0.000 I
-11.826 -4.288 0.558 Y
-4.572 -1.726 -1.808 Y
-8.746 -1.410 0.964 Y
-4.548 -2.344 2.382 Y
-7.208 -2.595 2.861 Si
-3.394 -3.256 0.100 Si

9.
Y2SiI | Alexandria via LeMat-Bulk | PBE-GGA | relaxed; spin magnetization = 0.0 Bohr magnetons per cell; space-group type = No. 160; formation energy without anion corrections = -343.2 kJ/mol of formula units; total energy = -5.865 eV/atom; ρ = 4.81 g/cm³
1.0
-3.188 0.443 -2.668
-3.480 -2.260 0.508
-5.134 4.863 3.668
Y I Si
2 1 1
Cartesian
-2.781 0.443 0.121 Y
-4.576 3.815 2.827 Y
-5.914 1.548 0.773 I
-9.565 3.627 2.208 Si

10.
ZnSiI2 | Alexandria via LeMat-Bulk | PBE-GGA | relaxed; spin magnetization = 0.0 Bohr magnetons per cell; space-group type = No. 225; formation energy without anion corrections = 192.7 kJ/mol of formula units; total energy = -1.950 eV/atom; ρ = 5.29 g/cm³
1.0
0.000 3.791 3.791
3.791 0.000 3.791
3.791 3.791 0.000
Zn I Si
1 2 1
Cartesian
3.791 3.791 3.791 Zn
1.896 1.896 1.896 I
5.687 5.687 5.687 I
0.000 0.000 0.000 Si

11.
ZnSiI2 | Alexandria via LeMat-Bulk | PBE-GGA | relaxed; spin magnetization = 0.0 Bohr magnetons per cell; space-group type = No. 122; formation energy without anion corrections = 120.3 kJ/mol of formula units; total energy = -2.138 eV/atom; ρ = 2.29 g/cm³
1.0
8.945 0.000 0.000
0.000 8.945 0.000
4.472 4.472 6.305
Si I Zn
2 4 2
Cartesian
4.472 4.472 0.000 Si
4.472 8.945 3.152 Si
11.181 8.997 4.728 I
4.419 6.708 1.576 I
6.708 8.892 4.728 I
4.525 2.236 1.576 I
0.000 0.000 0.000 Zn
8.945 4.472 3.152 Zn

12.
ZrZnSi2I | Alexandria via LeMat-Bulk | PBE-GGA | relaxed; spin magnetization = 0.0 Bohr magnetons per cell; space-group type = No. 123; formation energy without anion corrections = 407.4 kJ/mol of formula units; total energy = -3.599 eV/atom; ρ = 4.80 g/cm³
1.0
-4.519 -0.673 -0.081
0.808 -5.182 -2.040
0.170 -1.649 4.258
Zn I Si Zr
1 1 2 1
Cartesian
0.000 0.000 0.000 Zn
0.404 -2.591 -1.020 I
-2.259 -0.336 -0.040 Si
0.085 -0.825 2.129 Si
-1.771 -3.752 1.069 Zr

13.
ZrSiI | Alexandria via LeMat-Bulk | PBE-GGA | relaxed; spin magnetization = 0.0 Bohr magnetons per cell; space-group type = No. 1; formation energy without anion corrections = -204.7 kJ/mol of formula units; total energy = -5.881 eV/atom; ρ = 5.09 g/cm³
1.0
-3.922 -0.071 -0.752
-2.568 -1.024 2.882
-2.614 11.296 2.219
Zr Si I
2 2 2
Cartesian
-5.492 0.632 1.256 Zr
-5.722 3.741 2.155 Zr
-3.848 1.893 3.168 Si
-3.444 2.552 0.996 Si
-6.200 9.628 4.354 I
-1.541 6.477 1.316 I

14.
ZrSiI | Alexandria via LeMat-Bulk | PBE-GGA | relaxed; spin magnetization = 0.0 Bohr magnetons per cell; space-group type = No. 8; formation energy without anion corrections = -141.2 kJ/mol of formula units; total energy = -5.662 eV/atom; ρ = 4.45 g/cm³
1.0
11.277 0.000 0.003
0.000 3.662 0.000
-1.937 0.000 8.892
I Zr Si
4 4 4
Cartesian
4.287 1.831 2.431 I
-0.789 1.831 7.875 I
3.318 0.000 6.877 I
0.180 0.000 3.428 I
9.473 1.831 2.337 Zr
5.645 1.831 6.924 Zr
6.614 0.000 2.477 Zr
8.505 0.000 6.783 Zr
6.339 0.000 5.061 Si
7.808 1.831 4.609 Si
7.308 1.831 0.615 Si
8.776 0.000 0.163 Si

15.
Zr2SiI2 | Alexandria via LeMat-Bulk | PBE-GGA | relaxed; spin magnetization = 0.0 Bohr magnetons per cell; space-group type = No. 139; formation energy without anion corrections = 212.2 kJ/mol of formula units; total energy = -4.684 eV/atom; ρ = 5.52 g/cm³
1.0
4.592 0.000 0.000
0.000 4.592 0.000
2.296 2.296 6.624
I Si Zr
2 1 2
Cartesian
4.592 2.296 3.312 I
2.296 4.592 3.312 I
0.000 0.000 0.000 Si
4.592 4.592 5.186 Zr
2.296 2.296 1.438 Zr

16.
Zr2SiI2 | Alexandria via LeMat-Bulk | PBE-GGA | relaxed; spin magnetization = 0.0 Bohr magnetons per cell; space-group type = No. 127; formation energy without anion corrections = -5.0 kJ/mol of formula units; total energy = -5.134 eV/atom; ρ = 5.97 g/cm³
1.0
7.225 0.000 0.000
0.000 7.225 0.000
0.000 0.000 4.950
I Si Zr
4 2 4
Cartesian
2.405 1.207 2.475 I
6.018 2.405 2.475 I
1.207 4.820 2.475 I
4.820 6.018 2.475 I
3.613 3.613 0.000 Si
0.000 0.000 0.000 Si
4.795 1.182 0.000 Zr
6.043 4.795 0.000 Zr
1.182 2.431 0.000 Zr
2.431 6.043 0.000 Zr

17.
Zr2SiI | Alexandria via LeMat-Bulk | PBE-GGA | relaxed; spin magnetization = 0.0 Bohr magnetons per cell; space-group type = No. 122; formation energy without anion corrections = 109.6 kJ/mol of formula units; total energy = -5.733 eV/atom; ρ = 4.60 g/cm³
1.0
5.939 0.000 0.000
0.000 5.939 0.000
2.969 2.969 6.901
Zr I Si
4 2 2
Cartesian
7.424 7.056 5.176 Zr
4.087 1.485 1.725 Zr
1.852 4.454 1.725 Zr
4.454 4.822 5.176 Zr
0.000 0.000 0.000 I
5.939 2.969 3.451 I
2.969 5.939 3.451 Si
2.969 2.969 0.000 Si

18.
ZrSiI | Alexandria via LeMat-Bulk | PBE-GGA | relaxed; spin magnetization = 0.0 Bohr magnetons per cell; space-group type = No. 2; formation energy without anion corrections = -197.3 kJ/mol of formula units; total energy = -5.855 eV/atom; ρ = 5.19 g/cm³
1.0
-0.015 -0.361 3.748
-2.943 -1.202 -2.018
6.735 -10.844 -2.212
Si Zr I
2 2 2
Cartesian
1.619 -6.806 -1.246 Si
2.158 -5.601 0.763 Si
0.444 -4.322 -1.011 Zr
3.333 -8.085 0.529 Zr
-1.415 -3.129 0.988 I
5.192 -9.278 -1.470 I

19.
ZrSiI3 | Alexandria via LeMat-Bulk | PBE-GGA | relaxed; spin magnetization = 3.0 Bohr magnetons per cell; space-group type = No. 221; formation energy without anion corrections = 293.2 kJ/mol of formula units; total energy = -3.117 eV/atom; ρ = 4.85 g/cm³
1.0
5.553 0.000 0.000
0.000 5.553 0.000
0.000 0.000 5.553
Si I Zr
1 3 1
Cartesian
0.000 0.000 0.000 Si
0.000 0.000 2.777 I
2.777 0.000 0.000 I
0.000 2.777 0.000 I
2.777 2.777 2.777 Zr

20.
ZrSiI3 | Alexandria via LeMat-Bulk | PBE-GGA | relaxed; spin magnetization = 3.0 Bohr magnetons per cell; space-group type = No. 221; formation energy without anion corrections = 127.5 kJ/mol of formula units; total energy = -3.460 eV/atom; ρ = 4.34 g/cm³
1.0
-4.054 -3.739 -1.668
3.741 -4.337 0.629
-1.664 -0.640 5.479
Si I Zr
1 3 1
Cartesian
-0.988 -4.358 2.220 Si
1.871 -2.169 0.315 I
-0.832 -0.320 2.740 I
-2.027 -1.870 -0.834 I
0.000 0.000 0.000 Zr